# Tl2ZnInSi | Alexandria | PBE-GGA | optimized geometry
# final energy: -2.40 eV per atom
# E_form (uncorrected): 0.43 eV/atom
# calculated volume: 149 Å³ per cell
# DOS(E_F): 3.06 states/eV/cell
data_Tl2ZnInSi
_symmetry_space_group_name_H-M 'P 4/m m m'
_symmetry_Int_Tables_number 123
_symmetry_space_group_name_Hall '-P 4 2'
_cell_length_a 5.6005
_cell_length_b 5.6005
_cell_length_c 4.7649
_cell_angle_alpha 90.00
_cell_angle_beta 90.00
_cell_angle_gamma 90.00
loop_
_atom_site_label
_atom_site_type_symbol
_atom_site_fract_x
_atom_site_fract_y
_atom_site_fract_z
_atom_site_occupancy
Tl1 Tl 0.0000 0.5000 0.0000 1
Zn1 Zn 0.0000 0.0000 0.0000 1
In1 In 0.5000 0.5000 0.5000 1
Si1 Si 0.0000 0.0000 0.5000 1


# Pr3Dy4Y5 | Alexandria | PBE-GGA | optimized geometry
# final energy: -5.40 eV per atom
# formation energy from the elements: 0.019 eV per atom
# calculated volume: 395 Å³ per cell
# DOS(E_F): 16.91 states/eV/cell
data_Pr3Dy4Y5
_symmetry_space_group_name_H-M 'P -1'
_symmetry_Int_Tables_number 2
_symmetry_space_group_name_Hall '-P 1'
_cell_length_a 6.2204
_cell_length_b 7.1922
_cell_length_c 9.5269
_cell_angle_alpha 101.02
_cell_angle_beta 109.04
_cell_angle_gamma 90.15
loop_
_atom_site_label
_atom_site_type_symbol
_atom_site_fract_x
_atom_site_fract_y
_atom_site_fract_z
_atom_site_occupancy
Pr1 Pr 0.0000 0.0000 0.0000 1
Pr2 Pr 0.4991 0.9158 0.6650 1
Dy1 Dy 0.0005 0.1686 0.6668 1
Dy2 Dy 0.4986 0.5827 0.3324 1
Y1 Y 0.0000 0.5000 0.0000 1
Y2 Y 0.0015 0.3359 0.3346 1
Y3 Y 0.4991 0.2528 0.9999 1